1.
The following is a DFT calculation (GGA-PBEsol) of an optimized crystal structure of LaNbBi2Os. Values from VASP.

```
&SYSTEM
  ibrav = 0, nat = 5, ntyp = 4
/
ATOMIC_SPECIES
Bi 208.98 Bi.upf
Os 190.23 Os.upf
La 138.91 La.upf
Nb 92.91 Nb.upf
ATOMIC_POSITIONS crystal
Bi 0.000 0.500 0.000
Bi 0.000 0.000 0.500
Os 0.000 0.000 0.000
La 0.500 0.500 0.500
Nb 0.500 0.000 0.000
CELL_PARAMETERS angstrom
4.849 0.000 0.000
0.000 5.380 0.000
0.000 0.000 5.380
```

Properties
size of the total moment = 2.0 μB/f.u.
SG = P4/mmm (123)
energy of formation from the pure elements = 63 kJ per mole of atoms
total DFT energy (no corrections) = -6.740 eV/atom


2.
The following is a DFT calculation (GGA-PBEsol) of an optimized crystal structure of LiLaPt2. Values from VASP.

```
&SYSTEM
  ibrav = 0, nat = 4, ntyp = 3
/
ATOMIC_SPECIES
La 138.91 La.upf
Pt 195.08 Pt.upf
Li 6.94 Li.upf
ATOMIC_POSITIONS crystal
La 0.500 0.500 0.500
Pt 0.286 0.286 0.142
Pt 0.714 0.714 0.858
Li 0.000 0.000 0.000
CELL_PARAMETERS angstrom
-1.961 3.173 2.141
-3.383 -0.869 2.509
1.199 0.063 5.325
```

Properties
size of the total moment = 0.0 μB/f.u.
SG = R-3m (166)
energy of formation from the pure elements = -76 kJ per mole of atoms
total DFT energy (no corrections) = -6.098 eV/atom


3.
The following is a DFT calculation (GGA-PBEsol) of an optimized crystal structure of HfMgO3. Values from VASP.

```
&SYSTEM
  ibrav = 0, nat = 5, ntyp = 3
/
ATOMIC_SPECIES
Hf 178.49 Hf.upf
O 16.00 O.upf
Mg 24.30 Mg.upf
ATOMIC_POSITIONS crystal
Hf 0.500 0.500 0.500
O 0.500 0.000 0.000
O 0.000 0.500 0.000
O 0.000 0.000 0.500
Mg 0.000 0.000 0.000
CELL_PARAMETERS angstrom
3.676 0.000 0.000
0.000 3.676 0.000
0.000 0.000 3.676
```

Properties
size of the total moment = 0.0 μB/f.u.
SG = Pm-3m (221)
formation energy (no corrections) = -47.8 kcal/mol of atoms
total DFT energy (no corrections) = -7.665 eV/atom


4.
The following is a DFT calculation (GGA-PBEsol) of an optimized crystal structure of Cs2MnPd. Values from VASP.

```
&SYSTEM
  ibrav = 0, nat = 4, ntyp = 3
/
ATOMIC_SPECIES
Cs 132.91 Cs.upf
Pd 106.42 Pd.upf
Mn 54.94 Mn.upf
ATOMIC_POSITIONS crystal
Cs 0.750 0.750 0.750
Cs 0.250 0.250 0.250
Pd 0.500 0.500 0.500
Mn 0.000 0.000 0.000
CELL_PARAMETERS angstrom
5.845 0.000 0.000
2.923 5.062 0.000
2.923 1.687 4.772
```

Properties
size of the total moment = 5.0 μB/f.u.
SG = Fm-3m (225)
energy of formation from the pure elements = 95 kJ per mole of atoms
total DFT energy (no corrections) = -3.414 eV/atom


5.
The following is a DFT calculation (GGA-PBEsol) of an optimized crystal structure of Ag2Br. Values from VASP.

```
&SYSTEM
  ibrav = 0, nat = 6, ntyp = 2
/
ATOMIC_SPECIES
Ag 107.87 Ag.upf
Br 79.90 Br.upf
ATOMIC_POSITIONS crystal
Ag 0.438 0.250 0.877
Ag 0.938 0.750 0.875
Ag 0.062 0.250 0.125
Ag 0.562 0.750 0.123
Br 0.676 0.250 0.353
Br 0.324 0.750 0.647
CELL_PARAMETERS angstrom
4.022 0.000 0.000
0.000 4.040 0.000
-2.011 0.000 8.212
```

Properties
energy above the lowest structure with this stoichiometry = 0 meV/atom
size of the total moment = 0.0 μB/f.u.
SG = Cmcm (63)
formation energy (no corrections) = -3.1 kcal/mol of atoms
total DFT energy (no corrections) = -2.967 eV/atom


6.
The following is a DFT calculation (GGA-PBEsol) of an optimized crystal structure of GaCo2C. Values from VASP.

```
&SYSTEM
  ibrav = 0, nat = 8, ntyp = 3
/
ATOMIC_SPECIES
Ga 69.72 Ga.upf
Co 58.93 Co.upf
C 12.01 C.upf
ATOMIC_POSITIONS crystal
Ga 0.000 0.000 0.000
Ga 0.250 0.750 0.500
Co 0.477 0.375 0.602
Co 0.125 0.523 0.898
Co 0.773 0.875 0.398
Co 0.625 0.227 0.102
C 0.500 0.500 0.000
C 0.750 0.250 0.500
CELL_PARAMETERS angstrom
4.807 -0.019 0.000
-2.317 4.212 0.000
-1.245 -2.096 4.143
```

Properties
size of the total moment = 0.0 μB/f.u.
SG = I-42d (122)
energy of formation from the pure elements = 10 kJ per mole of atoms
total DFT energy (no corrections) = -7.011 eV/atom


7.
The following is a DFT calculation (GGA-PBEsol) of an optimized crystal structure of Be3C4. Values from VASP.

```
&SYSTEM
  ibrav = 0, nat = 7, ntyp = 2
/
ATOMIC_SPECIES
Be 9.01 Be.upf
C 12.01 C.upf
ATOMIC_POSITIONS crystal
Be 0.000 0.500 0.000
Be 0.000 0.000 0.500
Be 0.500 0.000 0.000
C 0.500 0.000 0.500
C 0.000 0.000 0.000
C 0.500 0.500 0.000
C 0.000 0.500 0.500
CELL_PARAMETERS angstrom
3.772 0.000 0.000
0.000 3.772 0.000
0.000 0.000 3.772
```

Properties
energy above the lowest structure with this stoichiometry = 246 meV/atom
size of the total moment = 0.0 μB/f.u.
SG = Pm-3m (221)
energy of formation from the pure elements = 179 kJ per mole of atoms
total DFT energy (no corrections) = -5.368 eV/atom


8.
The following is a DFT calculation (GGA-PBEsol) of an optimized crystal structure of CrPt2Cl. Values from VASP.

```
&SYSTEM
  ibrav = 0, nat = 4, ntyp = 3
/
ATOMIC_SPECIES
Pt 195.08 Pt.upf
Cl 35.45 Cl.upf
Cr 52.00 Cr.upf
ATOMIC_POSITIONS crystal
Pt 0.500 0.513 0.215
Pt 0.000 0.003 0.965
Cl 0.000 0.487 0.550
Cr 0.500 0.496 0.769
CELL_PARAMETERS angstrom
2.799 0.000 0.000
0.000 2.828 0.052
0.000 -0.246 7.852
```

Properties
energy above the lowest structure with this stoichiometry = 0 meV/atom
size of the total moment = 0.0 μB/f.u.
SG = Pm (6)
formation energy (no corrections) = 1.3 kcal/mol of atoms
total DFT energy (no corrections) = -6.488 eV/atom


9.
The following is a DFT calculation (GGA-PBEsol) of an optimized crystal structure of CsGeTeN2. Values from VASP.

```
&SYSTEM
  ibrav = 0, nat = 5, ntyp = 4
/
ATOMIC_SPECIES
N 14.01 N.upf
Cs 132.91 Cs.upf
Te 127.60 Te.upf
Ge 72.64 Ge.upf
ATOMIC_POSITIONS crystal
N 0.000 0.500 0.000
N 0.500 0.000 0.000
Cs 0.000 0.000 0.000
Te 0.000 0.000 0.500
Ge 0.500 0.500 0.500
CELL_PARAMETERS angstrom
4.325 0.000 0.000
0.000 4.325 0.000
0.000 0.000 7.142
```

Properties
size of the total moment = 1.8 μB/f.u.
SG = P4/mmm (123)
formation energy (no corrections) = 49.9 kcal/mol of atoms
total DFT energy (no corrections) = -3.127 eV/atom


10.
The following is a DFT calculation (GGA-PBEsol) of an optimized crystal structure of KSnPO5. Values from VASP.

```
&SYSTEM
  ibrav = 0, nat = 64, ntyp = 4
/
ATOMIC_SPECIES
Sn 118.71 Sn.upf
K 39.10 K.upf
O 16.00 O.upf
P 30.97 P.upf
ATOMIC_POSITIONS crystal
Sn 0.755 0.250 0.251
Sn 0.255 0.750 0.249
Sn 0.745 0.250 0.751
Sn 0.498 0.001 0.372
Sn 0.998 0.501 0.128
Sn 0.502 0.501 0.628
Sn 0.245 0.750 0.749
Sn 0.002 0.001 0.872
K 0.775 0.706 0.372
K 0.304 0.448 0.890
K 0.275 0.206 0.128
K 0.196 0.448 0.390
K 0.225 0.206 0.628
K 0.804 0.948 0.610
K 0.725 0.706 0.872
K 0.696 0.948 0.110
O 0.512 0.363 0.729
O 0.797 0.273 0.407
O 0.965 0.124 0.762
O 0.988 0.363 0.229
O 0.530 0.106 0.750
O 0.465 0.624 0.738
O 0.314 0.021 0.893
O 0.703 0.273 0.907
O 0.535 0.124 0.262
O 0.010 0.863 0.987
O 0.684 0.977 0.895
O 0.475 0.882 0.755
O 0.030 0.606 0.750
O 0.814 0.521 0.607
O 0.025 0.882 0.255
O 0.297 0.773 0.093
O 0.525 0.382 0.245
O 0.794 0.229 0.592
O 0.970 0.106 0.250
O 0.316 0.477 0.105
O 0.035 0.624 0.238
O 0.686 0.521 0.107
O 0.482 0.634 0.514
O 0.490 0.863 0.487
O 0.982 0.134 0.986
O 0.184 0.477 0.605
O 0.706 0.229 0.092
O 0.816 0.977 0.395
O 0.975 0.382 0.745
O 0.018 0.634 0.014
O 0.294 0.729 0.908
O 0.206 0.729 0.408
O 0.186 0.021 0.393
O 0.488 0.863 0.271
O 0.203 0.773 0.593
O 0.990 0.363 0.013
O 0.470 0.606 0.250
O 0.012 0.863 0.771
O 0.518 0.134 0.486
O 0.510 0.363 0.513
P 0.001 0.998 0.324
P 0.844 0.251 0.999
P 0.156 0.751 0.001
P 0.344 0.751 0.501
P 0.499 0.998 0.824
P 0.999 0.498 0.676
P 0.501 0.498 0.176
P 0.656 0.251 0.499
CELL_PARAMETERS angstrom
6.564 0.000 0.000
0.000 10.803 0.000
0.000 0.000 13.213
```

Properties
size of the total moment = 0.0 μB/f.u.
SG = Pna2_1 (33)
formation energy (no corrections) = -48.4 kcal/mol of atoms
total DFT energy (no corrections) = -6.778 eV/atom


11.
The following is a DFT calculation (GGA-PBEsol) of an optimized crystal structure of CdSbBr2. Values from VASP.

```
&SYSTEM
  ibrav = 0, nat = 4, ntyp = 3
/
ATOMIC_SPECIES
Sb 121.76 Sb.upf
Br 79.90 Br.upf
Cd 112.41 Cd.upf
ATOMIC_POSITIONS crystal
Sb 0.500 0.500 0.500
Br 0.000 0.000 0.500
Br 0.000 0.500 0.000
Cd 0.500 0.000 0.000
CELL_PARAMETERS angstrom
3.447 0.000 0.000
0.000 5.485 0.022
0.000 -1.470 5.284
```

Properties
energy above the lowest structure with this stoichiometry = 225 meV/atom
size of the total moment = 0.0 μB/f.u.
SG = Cmmm (65)
formation energy (no corrections) = 0.4 kcal/mol of atoms
total DFT energy (no corrections) = -2.358 eV/atom


12.
The following is a DFT calculation (GGA-PBEsol) of an optimized crystal structure of ZrCl3. Values from VASP.

```
&SYSTEM
  ibrav = 0, nat = 8, ntyp = 2
/
ATOMIC_SPECIES
Cl 35.45 Cl.upf
Zr 91.22 Zr.upf
ATOMIC_POSITIONS crystal
Cl 0.650 0.075 0.775
Cl 0.670 0.241 0.266
Cl 0.350 0.925 0.225
Cl 0.330 0.759 0.734
Cl 0.998 0.426 0.776
Cl 0.002 0.574 0.224
Zr 0.856 0.856 0.000
Zr 0.144 0.144 0.000
CELL_PARAMETERS angstrom
-0.019 0.785 -6.089
-2.666 -4.328 -3.459
-4.690 4.830 -2.418
```

Properties
size of the total moment = 0.0 μB/f.u.
SG = P-1 (2)
formation energy (no corrections) = -40.2 kcal/mol of atoms
total DFT energy (no corrections) = -5.520 eV/atom